# 1
Here is a geometry-optimized TaNb7 structure from Alexandria. Energies are from GGA-PBE.

a b c (Å): 4.6853 4.6853 7.4165
angles (deg): 108.41 108.41 90.00
Last column: nearest neighbours and their distance in Å.
Fractional coordinates of all 8 atoms:
Nb 0.5000 0.5000 0.0000  8 Nb 2.87
Nb 0.7515 0.7515 0.5029  8 Nb 2.86-2.88
Ta 0.0000 0.0000 0.0000  8 Nb 2.87
Nb 0.3749 0.8749 0.7497  6 Nb 2.86-2.88, 2 Ta 2.87
Nb 0.1251 0.6251 0.2503  6 Nb 2.86-2.88, 2 Ta 2.87
Nb 0.8749 0.3749 0.7497  6 Nb 2.86-2.88, 2 Ta 2.87
Nb 0.6251 0.1251 0.2503  6 Nb 2.86-2.88, 2 Ta 2.87
Nb 0.2485 0.2485 0.4971  8 Nb 2.86-2.88

Results
Raw total energy ... -10.3149 eV per atom
SG ... No. 139

# 2
Here is a geometry-optimized TaNb3 structure from Alexandria. Energies are from GGA-PBE.

a b c (Å): 4.6856 4.6856 4.6856
angles (deg): 60.00 60.00 60.00
Last column: nearest neighbours and their distance in Å.
Fractional coordinates of all 4 atoms:
Nb 0.0000 0.0000 0.0000  8 Nb 2.87
Nb 0.7500 0.7500 0.7500  4 Ta 2.87, 4 Nb 2.87
Ta 0.5000 0.5000 0.5000  8 Nb 2.87
Nb 0.2500 0.2500 0.2500  4 Ta 2.87, 4 Nb 2.87

Results
Polymorph energy (0 for the lowest one) ... 0.0 meV/atom
SG ... No. 225

# 3
Here is a geometry-optimized Ta13Nb3 structure from Alexandria. Energies are from GGA-PBE.

a b c (Å): 6.6427 6.6427 6.6144
angles (deg): 90.00 90.00 90.02
Last column: nearest neighbours and their distance in Å.
Fractional coordinates of all 16 atoms:
Ta 0.9998 0.4997 0.2498  1 Nb 2.87, 7 Ta 2.87
Ta 0.5002 0.4998 0.7502  1 Nb 2.87, 7 Ta 2.87-2.88
Nb 0.9997 0.0003 0.2497  1 Nb 2.87, 7 Ta 2.87
Ta 0.2495 0.7505 0.0000  2 Nb 2.87, 6 Ta 2.87-2.88
Ta 0.2495 0.7505 0.5000  2 Nb 2.87, 6 Ta 2.87-2.88
Ta 0.7505 0.7505 0.0000  2 Nb 2.87, 6 Ta 2.87-2.88
Ta 0.5003 0.0002 0.7502  1 Nb 2.87, 7 Ta 2.87
Ta 0.7504 0.2496 0.5000  2 Nb 2.87, 6 Ta 2.87
Ta 0.2495 0.2496 0.5000  2 Nb 2.87, 6 Ta 2.87-2.88
Ta 0.9998 0.4997 0.7502  1 Nb 2.87, 7 Ta 2.87
Nb 0.9997 0.0003 0.7503  1 Nb 2.87, 7 Ta 2.87
Ta 0.5003 0.0002 0.2498  1 Nb 2.87, 7 Ta 2.87
Ta 0.5002 0.4998 0.2498  1 Nb 2.87, 7 Ta 2.87-2.88
Nb 0.7506 0.2494 0.0000  2 Nb 2.87, 6 Ta 2.87
Ta 0.2495 0.2495 0.0000  2 Nb 2.87, 6 Ta 2.87-2.88
Ta 0.7504 0.7505 0.5000  2 Nb 2.87, 6 Ta 2.87-2.88

Results
Raw total energy ... -11.5219 eV per atom
SG ... No. 38

# 4
Here is a geometry-optimized Ta4Nb3 structure from Alexandria. Energies are from GGA-PBE.

a b c (Å): 4.6921 7.2055 4.7075
angles (deg): 109.24 119.89 90.00
Last column: nearest neighbours and their distance in Å.
Fractional coordinates of all 7 atoms:
Nb 0.0000 0.0000 0.0000  8 Ta 2.84-2.89
Nb 0.4293 0.2886 0.8585  1 Nb 2.82, 7 Ta 2.86-2.89
Ta 0.2860 0.8571 0.5720  7 Nb 2.87-2.89, 1 Ta 2.88
Ta 0.1417 0.4255 0.2833  4 Nb 2.84-2.87, 4 Ta 2.88-2.90
Ta 0.7140 0.1429 0.4280  7 Nb 2.87-2.89, 1 Ta 2.88
Ta 0.8583 0.5745 0.7167  4 Nb 2.84-2.87, 4 Ta 2.88-2.90
Nb 0.5707 0.7114 0.1415  1 Nb 2.82, 7 Ta 2.86-2.89

Results
Polymorph energy (0 for the lowest one) ... 0.0 meV/atom
SG ... No. 12

# 5
Here is a geometry-optimized Ta4Nb structure from Alexandria. Energies are from GGA-PBE.

a b c (Å): 4.8100 4.8100 4.8100
angles (deg): 90.00 90.00 90.00
Last column: nearest neighbours and their distance in Å.
Fractional coordinates of all 5 atoms:
Ta 0.0000 0.0000 0.0000  12 Ta 3.40
Ta 0.5000 0.5000 0.0000  2 Nb 2.41
Ta 0.5000 0.0000 0.5000  2 Nb 2.41
Ta 0.0000 0.5000 0.5000  2 Nb 2.41
Nb 0.5000 0.5000 0.5000  6 Ta 2.41

Results
Polymorph energy (0 for the lowest one) ... 1218.8 meV/atom
SG ... No. 221

# 6
Here is a geometry-optimized Ta3Nb5 structure from Alexandria. Energies are from GGA-PBE.

a b c (Å): 3.8971 3.8971 10.1506
angles (deg): 101.07 101.07 90.00
Last column: nearest neighbours and their distance in Å.
Fractional coordinates of all 8 atoms:
Nb 0.7500 0.2500 0.5000  4 Ta 2.76
Ta 0.8739 0.8739 0.7478  4 Nb 2.76
Nb 0.5003 0.0003 0.0005  4 Nb 2.76
Nb 0.6251 0.6252 0.2503  4 Ta 2.76
Ta 0.2500 0.7500 0.5000  4 Nb 2.76
Ta 0.1261 0.1261 0.2522  4 Nb 2.76
Nb 0.9997 0.4997 0.9995  4 Nb 2.76
Nb 0.3749 0.3748 0.7497  4 Ta 2.76

Results
Polymorph energy (0 for the lowest one) ... 151.6 meV/atom
SG ... No. 119

# 7
Here is a geometry-optimized Ta2Nb5 structure from Alexandria. Energies are from GGA-PBE.

a b c (Å): 4.7021 4.7021 7.1922
angles (deg): 70.92 70.92 60.00
Last column: nearest neighbours and their distance in Å.
Fractional coordinates of all 7 atoms:
Nb 0.7851 0.7851 0.6448  1 Ta 2.84, 7 Nb 2.88
Nb 0.5000 0.5000 0.5000  2 Ta 2.85, 6 Nb 2.88
Nb 0.9293 0.9293 0.2122  5 Nb 2.83-2.88, 3 Ta 2.87
Ta 0.6427 0.6427 0.0719  5 Nb 2.84-2.87, 3 Ta 2.88
Nb 0.2149 0.2149 0.3552  1 Ta 2.84, 7 Nb 2.88
Ta 0.3573 0.3573 0.9281  5 Nb 2.84-2.87, 3 Ta 2.88
Nb 0.0707 0.0707 0.7878  5 Nb 2.83-2.88, 3 Ta 2.87

Results
Polymorph energy (0 for the lowest one) ... 4.8 meV/atom
SG ... No. 166

# 8
Here is a geometry-optimized Ta5Nb7 structure from Alexandria. Energies are from GGA-PBE.

a b c (Å): 3.3073 6.6077 10.5414
angles (deg): 108.27 90.00 90.00
Last column: nearest neighbours and their distance in Å.
Fractional coordinates of all 12 atoms:
Nb 0.5000 0.5000 0.0000  8 Nb 2.87
Nb 0.5000 0.3330 0.6659  4 Ta 2.87, 4 Nb 2.87
Ta 0.5000 0.8347 0.6695  4 Nb 2.86, 4 Ta 2.89
Ta 0.0000 0.5000 0.5000  4 Nb 2.87, 4 Ta 2.89
Nb 0.0000 0.6653 0.8332  4 Ta 2.86-2.88, 4 Nb 2.87
Nb 0.0000 0.8321 0.1668  4 Ta 2.86-2.88, 4 Nb 2.87
Nb 0.0000 0.3347 0.1668  4 Ta 2.86-2.88, 4 Nb 2.87
Nb 0.0000 0.1679 0.8332  4 Ta 2.86-2.88, 4 Nb 2.87
Ta 0.5000 0.1653 0.3305  4 Nb 2.86, 4 Ta 2.89
Ta 0.0000 0.0000 0.5000  4 Nb 2.87, 4 Ta 2.89
Nb 0.5000 0.6670 0.3341  4 Ta 2.87, 4 Nb 2.87
Ta 0.5000 0.0000 0.0000  8 Nb 2.88

Results
Raw total energy ... -10.8299 eV per atom
SG ... No. 65

# 9
Here is a geometry-optimized Ta11Nb3 structure from Alexandria. Energies are from GGA-PBE.

a b c (Å): 4.8782 8.1704 8.1704
angles (deg): 107.72 72.63 72.63
Last column: nearest neighbours and their distance in Å.
Fractional coordinates of all 14 atoms:
Nb 0.3188 0.6812 0.6812  1 Nb 2.65, 4 Ta 2.86-2.87
Ta 0.1641 0.6254 0.0465  7 Ta 2.73-3.01
Ta 0.6828 0.9210 0.7133  6 Ta 2.74-3.04, 2 Nb 3.02
Ta 0.8359 0.3746 0.9535  7 Ta 2.73-3.01
Nb 0.0000 0.0000 0.0000  2 Nb 2.65
Ta 0.6828 0.7133 0.9210  6 Ta 2.74-3.04, 2 Nb 3.02
Ta 0.0000 0.5000 0.5000  4 Nb 2.87, 4 Ta 2.97
Ta 0.1641 0.0465 0.6254  7 Ta 2.73-3.01
Ta 0.3172 0.0790 0.2867  6 Ta 2.74-3.04, 2 Nb 3.02
Ta 0.8359 0.9535 0.3746  7 Ta 2.73-3.01
Ta 0.5000 0.6844 0.3156  6 Ta 2.81-3.12, 2 Nb 2.86
Ta 0.5000 0.3156 0.6844  6 Ta 2.81-3.12, 2 Nb 2.86
Ta 0.3172 0.2867 0.0790  6 Ta 2.74-3.04, 2 Nb 3.02
Nb 0.6812 0.3188 0.3188  1 Nb 2.65, 4 Ta 2.86-2.87

Results
Raw total energy ... -11.1138 eV per atom
SG ... No. 71

# 10
Here is a geometry-optimized Ta7Nb5 structure from Alexandria. Energies are from GGA-PBE.

a b c (Å): 3.2985 6.6141 10.5640
angles (deg): 108.24 90.00 90.00
Last column: nearest neighbours and their distance in Å.
Fractional coordinates of all 12 atoms:
Ta 0.5000 0.6660 0.3319  4 Ta 2.87, 4 Nb 2.88
Ta 0.0000 0.8346 0.1664  4 Nb 2.87-2.88, 4 Ta 2.87-2.88
Ta 0.5000 0.5000 0.0000  8 Ta 2.88
Ta 0.5000 0.3340 0.6681  4 Ta 2.87, 4 Nb 2.88
Nb 0.5000 0.1681 0.3361  4 Nb 2.86, 4 Ta 2.88
Nb 0.0000 0.0000 0.5000  4 Nb 2.86, 4 Ta 2.88
Nb 0.5000 0.0000 0.0000  8 Ta 2.87
Ta 0.0000 0.3318 0.1664  4 Nb 2.87-2.88, 4 Ta 2.87-2.88
Ta 0.0000 0.1654 0.8336  4 Nb 2.87-2.88, 4 Ta 2.87-2.88
Nb 0.0000 0.5000 0.5000  4 Nb 2.86, 4 Ta 2.88
Ta 0.0000 0.6682 0.8336  4 Nb 2.87-2.88, 4 Ta 2.87-2.88
Nb 0.5000 0.8319 0.6639  4 Nb 2.86, 4 Ta 2.88

Results
Polymorph energy (0 for the lowest one) ... 0.0 meV/atom
SG ... No. 65

# 11
Here is a geometry-optimized Ta4Nb structure from Alexandria. Energies are from GGA-PBE.

a b c (Å): 4.6534 6.4898 6.4898
angles (deg): 90.00 90.00 90.00
Last column: nearest neighbours and their distance in Å.
Fractional coordinates of all 10 atoms:
Nb 0.0000 0.0000 0.0000  8 Ta 2.76
Ta 0.2695 0.6553 0.8447  2 Nb 2.76, 5 Ta 2.76-3.05
Ta 0.2695 0.3447 0.1553  2 Nb 2.76, 5 Ta 2.76-3.05
Nb 0.0000 0.5000 0.5000  8 Ta 2.76
Ta 0.7305 0.1553 0.3447  2 Nb 2.76, 5 Ta 2.76-3.05
Ta 0.7305 0.6553 0.1553  2 Nb 2.76, 5 Ta 2.76-3.05
Ta 0.7305 0.8447 0.6553  2 Nb 2.76, 5 Ta 2.76-3.05
Ta 0.2695 0.8447 0.3447  2 Nb 2.76, 5 Ta 2.76-3.05
Ta 0.2695 0.1553 0.6553  2 Nb 2.76, 5 Ta 2.76-3.05
Ta 0.7305 0.3447 0.8447  2 Nb 2.76, 5 Ta 2.76-3.05

Results
Polymorph energy (0 for the lowest one) ... 139.8 meV/atom
SG ... No. 125

# 12
Here is a geometry-optimized TaNb4Tc2 structure from Alexandria. Energies are from GGA-PBE.

a b c (Å): 5.4994 5.4994 5.4994
angles (deg): 105.69 105.69 117.34
Last column: nearest neighbours and their distance in Å.
Fractional coordinates of all 7 atoms:
Nb 0.7962 0.7962 0.5924  4 Nb 2.71-2.99, 1 Ta 2.78, 4 Tc 2.78
Nb 0.2038 0.2038 0.4076  4 Nb 2.71-2.99, 1 Ta 2.78, 4 Tc 2.78
Nb 0.2038 0.7962 0.0001  4 Nb 2.71-2.99, 1 Ta 2.78, 4 Tc 2.78
Tc 0.2500 0.7500 0.5000  8 Nb 2.78, 2 Tc 2.86
Nb 0.7962 0.2038 0.9999  4 Nb 2.71-2.99, 1 Ta 2.78, 4 Tc 2.78
Tc 0.7500 0.2500 0.5000  8 Nb 2.78, 2 Tc 2.86
Ta 0.5000 0.5000 0.0000  4 Nb 2.78

Results
Raw total energy ... -10.0803 eV per atom
SG ... No. 139

Looking at size of the total moment for the records above, in order, we have 0.00; 0.00; 0.00; 0.00; 0.00; 0.00; 0.00; 0.00; 0.00; 0.00; 0.00; 0.00 μB/f.u..